(1)
An optimized crystal structure of BeNi2Hg2, computed with GGA-PBE.

For the volume, the calculation gives 148 Å³/cell. The calculation puts the formation energy at 0.164 eV/atom.

It has space group P4/mbm (No. 127), with a = 5.869 Å, b = 5.869 Å, c = 4.302 Å, α = 90.00°, β = 90.00° and γ = 90.00°. The inequivalent atoms are Be at (0.000, 0.000, 0.000), Ni at (0.146, 0.354, 0.000) and Hg at (0.174, 0.674, 0.500).


(2)
An optimized crystal structure of BeNi2Hg2, computed with GGA-PBE.

For the volume, the calculation gives 161 Å³/cell. The calculation puts the formation energy at 0.526 eV/atom.

It has space group I4/mmm (No. 139), with a = 3.343 Å, b = 3.343 Å, c = 14.379 Å, α = 90.00°, β = 90.00° and γ = 90.00°. The inequivalent atoms are Be at (0.000, 0.000, 0.000), Ni at (0.000, 0.500, 0.250) and Hg at (0.000, 0.000, 0.398).


(3)
An optimized crystal structure of SrBeNi2Hg, computed with GGA-PBE.

For the volume, the calculation gives 136 Å³/cell. The calculation puts the formation energy at 1.171 eV/atom.

It has space group P4/mmm (No. 123), with a = 4.857 Å, b = 4.857 Å, c = 5.787 Å, α = 90.00°, β = 90.00° and γ = 90.00°. The inequivalent atoms are Sr at (0.000, 0.000, 0.000), Be at (0.500, 0.500, 0.000), Ni at (0.000, 0.500, 0.500) and Hg at (0.000, 0.000, 0.500).


(4)
An optimized crystal structure of BeV2NiHg, computed with GGA-PBE.

For the volume, the calculation gives 100 Å³/cell. The calculation puts the formation energy at 1.842 eV/atom.

It has space group P4/mmm (No. 123), with a = 4.885 Å, b = 4.885 Å, c = 4.174 Å, α = 90.00°, β = 90.00° and γ = 90.00°. The inequivalent atoms are Be at (0.000, 0.000, 0.000), V at (0.000, 0.500, 0.500), Ni at (0.500, 0.500, 0.000) and Hg at (0.000, 0.000, 0.500).


(5)
An optimized crystal structure of NpBeHg2O6, computed with GGA-PBE.

The formation energy from raw total energies comes out at -146.7 kJ per mole of atoms. For the volume, the calculation gives 242 Å³/cell.

It has space group C2/m (No. 12), with a = 9.608 Å, b = 5.549 Å, c = 5.369 Å, α = 90.00°, β = 122.33° and γ = 90.00°. The inequivalent atoms are Np at (0.000, 0.000, 0.000), Be at (0.000, 0.500, 0.500), Hg at (0.247, 0.500, 0.269), O at (0.051, 0.268, 0.320) and O at (0.245, 0.000, 0.139).


(6)
An optimized crystal structure of NpBeHgO5, computed with GGA-PBE.

The formation energy from raw total energies comes out at -198.5 kJ per mole of atoms. For the volume, the calculation gives 465 Å³/cell.

It has space group C2/c (No. 15), with a = 7.593 Å, b = 8.554 Å, c = 7.959 Å, α = 90.00°, β = 115.85° and γ = 90.00°. The inequivalent atoms are Np at (0.250, 0.250, 0.000), Be at (0.000, 0.070, 0.250), Hg at (0.000, 0.408, 0.250), O at (0.000, 0.348, 0.750), O at (0.067, 0.192, 0.128) and O at (0.186, 0.045, 0.881).


(7)
An optimized crystal structure of NpBeHgO6, computed with GGA-PBE.

The formation energy from raw total energies comes out at -155.5 kJ per mole of atoms. For the volume, the calculation gives 112 Å³/cell.

It has space group P312 (No. 149), with a = 5.1046 Å, b = 5.1046 Å, c = 4.9716 Å, α = 90.00°, β = 90.00° and γ = 120.00°. The inequivalent atoms are Np at (0.0000, 0.0000, 0.0000), Be at (0.3333, 0.6667, 0.0000), Hg at (0.6667, 0.3333, 0.5000) and O at (0.0396, 0.3527, 0.2104).


(8)
An optimized crystal structure of BeHgO2, computed with GGA-PBE.

The formation energy from raw total energies comes out at -101.1 kJ per mole of atoms. For the volume, the calculation gives 175 Å³/cell.

It has space group R-3m (No. 166, hexagonal axes), with a = 3.5709 Å, b = 3.5709 Å, c = 15.8480 Å, α = 90.00°, β = 90.00° and γ = 120.00°. The inequivalent atoms are Be at (0.0000, 0.0000, 0.0000), Hg at (0.0000, 0.0000, 0.5000) and O at (0.0000, 0.0000, 0.0905).


Copy entry 8 word for word.
An optimized crystal structure of BeHgO2, computed with GGA-PBE.

The formation energy from raw total energies comes out at -101.1 kJ per mole of atoms. For the volume, the calculation gives 175 Å³/cell.

It has space group R-3m (No. 166, hexagonal axes), with a = 3.5709 Å, b = 3.5709 Å, c = 15.8480 Å, α = 90.00°, β = 90.00° and γ = 120.00°. The inequivalent atoms are Be at (0.0000, 0.0000, 0.0000), Hg at (0.0000, 0.0000, 0.5000) and O at (0.0000, 0.0000, 0.0905).